! GGA-PBE Y2W2Se, relaxed; values from VASP
&SYSTEM
  ibrav = 0, nat = 5, ntyp = 3
/
ATOMIC_SPECIES
Y 88.91 Y.upf
W 183.84 W.upf
Se 78.96 Se.upf
CELL_PARAMETERS angstrom
-1.839 1.839 8.646
1.839 -1.839 8.646
1.839 1.839 -8.646
ATOMIC_POSITIONS crystal
Y 0.105 0.105 0.000
Y 0.895 0.895 0.000
W 0.250 0.750 0.500
W 0.750 0.250 0.500
Se 0.500 0.500 0.000
! Fermi-level density of states	0.3989	states/eV per atom
! total moment	0.00	Bohr magnetons per cell
! E_tot	-43.35	eV per formula unit
! crystal system	tetragonal